Entry 1:
Density functional theory data (PBE) for crystalline Ca2CdPd2 at its relaxed geometry.

Structure (extended XYZ):
```
5
Lattice="5.584 0.000 0.000 0.000 5.584 0.000 2.792 2.792 4.061" Properties=species:S:1:pos:R:3 pbc="T T T"
Ca 5.584 2.792 2.030
Ca 2.792 5.584 2.030
Pd 2.792 2.792 1.315
Pd 5.584 5.584 2.746
Cd 0.000 0.000 0.000
```

Calculated values
Energy of formation from the pure elements in meV/atom: -460.5
Total magnetization in μB/atom: 0.00
Total DFT energy (no corrections) in eV per atom: -3.52

Entry 2:
Density functional theory data (PBE) for crystalline Pu3P2Br at its relaxed geometry.

Structure (extended XYZ):
```
12
Lattice="-2.503 1.943 -2.478 0.128 -4.021 -0.016 -15.081 -0.538 14.813" Properties=species:S:1:pos:R:3 pbc="T T T"
Pu 0.000 0.000 0.000
Pu -3.010 -2.114 1.384
Pu -6.029 -2.221 4.349
Pu -7.540 -0.269 7.406
Pu -11.427 -0.395 7.969
Pu -14.447 -0.503 10.935
P -14.645 -2.529 12.812
P -2.812 -0.087 -0.493
P -7.981 -0.272 4.584
P -9.475 -2.344 7.734
Br -3.770 -0.135 3.703
Br -11.311 -0.404 11.110
```

Calculated values
Total magnetization in μB/atom: 2.78
Total DFT energy (no corrections) in eV per atom: -10.38

Entry 3:
Density functional theory data (PBE) for crystalline TcSbIr2 at its relaxed geometry.

Structure (extended XYZ):
```
4
Lattice="-2.868 -0.537 0.117 0.453 -1.655 3.509 -0.841 5.030 2.481" Properties=species:S:1:pos:R:3 pbc="T T T"
Ir -0.825 4.935 2.434
Ir -0.436 2.609 1.287
Sb -1.418 0.161 2.433
Tc -1.838 2.676 3.674
```

Calculated values
Total magnetization in μB/atom: 0.00
Total DFT energy (no corrections) in eV per atom: -7.89

Entry 4:
Density functional theory data (PBE) for crystalline Zr2ScAu at its relaxed geometry.

Structure (extended XYZ):
```
4
Lattice="5.021 0.000 0.000 0.000 5.021 0.000 0.000 0.000 3.349" Properties=species:S:1:pos:R:3 pbc="T T T"
Au 2.511 0.000 1.675
Sc 0.000 2.511 1.675
Zr 0.000 0.000 0.000
Zr 2.511 2.511 0.000
```

Calculated values
Energy of formation from the pure elements in meV/atom: -158.7
Total magnetization in μB/atom: 0.00
Total DFT energy (no corrections) in eV per atom: -6.84

> Among the records above, which one has the highest total magnetization?

Pu3P2Br

> total magnetization of number 2 (Pu3P2Br)?

2.78 μB/atom